Entry 1:
# CaAc5Tb

A relaxed CaAc5Tb crystal (PBE, Alexandria).

Cell and atoms, written as CIF:
```
data_CaAc5Tb
_chemical_formula_sum 'Ca1 Ac5 Tb1'
_cell_length_a 5.8564
_cell_length_b 5.8564
_cell_length_c 9.2499
_cell_angle_alpha 90.00
_cell_angle_beta 90.00
_cell_angle_gamma 90.00
_space_group_name_H-M_alt 'P 4/m m m'
_space_group_IT_number 123
_space_group_name_Hall '-P 4 2'
loop_
_atom_site_label
_atom_site_type_symbol
_atom_site_fract_x
_atom_site_fract_y
_atom_site_fract_z
_atom_site_occupancy
Ca1 Ca 0.0000 0.0000 0.0000 1
Ac1 Ac 0.0000 0.5000 0.2861 1
Ac2 Ac 0.5000 0.5000 0.0000 1
Tb1 Tb 0.0000 0.0000 0.5000 1
```

Values from the calculation:
Spin magnetization (μB per cell): 0.000
DFT formation energy (eV/atom): 0.227
VASP energy (eV/atom): -3.655

=====

Entry 2:
# CaAc2Tb

A relaxed CaAc2Tb crystal (PBE, Alexandria).

Cell and atoms, written as CIF:
```
data_CaAc2Tb
_chemical_formula_sum 'Ca3 Ac6 Tb3'
_cell_length_a 3.8618
_cell_length_b 3.8618
_cell_length_c 37.7704
_cell_angle_alpha 90.00
_cell_angle_beta 90.00
_cell_angle_gamma 120.00
_space_group_name_H-M_alt 'R 3 m'
_space_group_IT_number 160
_space_group_name_Hall 'R 3 -2"'
loop_
_atom_site_label
_atom_site_type_symbol
_atom_site_fract_x
_atom_site_fract_y
_atom_site_fract_z
_atom_site_occupancy
Ca1 Ca 0.0000 0.0000 0.0000 1
Ac1 Ac 0.0000 0.0000 0.2452 1
Ac2 Ac 0.0000 0.0000 0.4209 1
Tb1 Tb 0.0000 0.0000 0.8330 1
```

Values from the calculation:
Spin magnetization (μB per cell): 0.000
DFT formation energy (eV/atom): 0.042
VASP energy (eV/atom): -3.670
Energy above the lowest structure with this stoichiometry (eV/atom): 0.000

=====

Entry 3:
# Ca3Ac8Tb2

A relaxed Ca3Ac8Tb2 crystal (PBE, Alexandria).

Cell and atoms, written as CIF:
```
data_Ca3Ac8Tb2
_chemical_formula_sum 'Ca6 Ac16 Tb4'
_cell_length_a 22.7932
_cell_length_b 12.6389
_cell_length_c 3.9391
_cell_angle_alpha 90.00
_cell_angle_beta 99.87
_cell_angle_gamma 90.00
_space_group_name_H-M_alt 'C 1 2/m 1'
_space_group_IT_number 12
_space_group_name_Hall '-C 2y'
loop_
_atom_site_label
_atom_site_type_symbol
_atom_site_fract_x
_atom_site_fract_y
_atom_site_fract_z
_atom_site_occupancy
Ca1 Ca 0.0000 0.0000 0.0000 1
Ca2 Ca 0.0000 0.2586 0.5000 1
Ac1 Ac 0.0794 0.5000 0.0777 1
Ac2 Ac 0.1380 0.0000 0.6390 1
Ac3 Ac 0.1751 0.2550 0.1755 1
Tb1 Tb 0.2222 0.5000 0.7211 1
```

Values from the calculation:
Spin magnetization (μB per cell): 0.000
DFT formation energy (eV/atom): 0.091
VASP energy (eV/atom): -3.612

=====

Entry 4:
# CaAc14Tb

A relaxed CaAc14Tb crystal (PBE, Alexandria).

Cell and atoms, written as CIF:
```
data_CaAc14Tb
_chemical_formula_sum 'Ca1 Ac14 Tb1'
_cell_length_a 7.9270
_cell_length_b 7.9270
_cell_length_c 11.2023
_cell_angle_alpha 90.00
_cell_angle_beta 90.00
_cell_angle_gamma 90.00
_space_group_name_H-M_alt 'P 4/m m m'
_space_group_IT_number 123
_space_group_name_Hall '-P 4 2'
loop_
_atom_site_label
_atom_site_type_symbol
_atom_site_fract_x
_atom_site_fract_y
_atom_site_fract_z
_atom_site_occupancy
Ca1 Ca 0.0000 0.0000 0.0000 1
Ac1 Ac 0.0000 0.0000 0.5000 1
Ac2 Ac 0.0000 0.5000 0.0000 1
Ac3 Ac 0.0000 0.5000 0.5000 1
Ac4 Ac 0.2533 0.2533 0.2475 1
Ac5 Ac 0.5000 0.5000 0.5000 1
Tb1 Tb 0.5000 0.5000 0.0000 1
```

Values from the calculation:
Spin magnetization (μB per cell): 0.000
DFT formation energy (eV/atom): 0.021
VASP energy (eV/atom): -3.989

=====

Entry 5:
# Ca2Ac9Tb

A relaxed Ca2Ac9Tb crystal (PBE, Alexandria).

Cell and atoms, written as CIF:
```
data_Ca2Ac9Tb
_chemical_formula_sum 'Ca2 Ac9 Tb1'
_cell_length_a 5.5639
_cell_length_b 5.5639
_cell_length_c 16.6898
_cell_angle_alpha 90.00
_cell_angle_beta 90.00
_cell_angle_gamma 90.00
_space_group_name_H-M_alt 'P 4/m m m'
_space_group_IT_number 123
_space_group_name_Hall '-P 4 2'
loop_
_atom_site_label
_atom_site_type_symbol
_atom_site_fract_x
_atom_site_fract_y
_atom_site_fract_z
_atom_site_occupancy
Ca1 Ca 0.0000 0.0000 0.1683 1
Ac1 Ac 0.0000 0.5000 0.0000 1
Ac2 Ac 0.0000 0.5000 0.3385 1
Ac3 Ac 0.5000 0.5000 0.1683 1
Ac4 Ac 0.5000 0.5000 0.5000 1
Tb1 Tb 0.0000 0.0000 0.5000 1
```

Values from the calculation:
Spin magnetization (μB per cell): 0.000
DFT formation energy (eV/atom): 0.026
VASP energy (eV/atom): -3.775

=====

Entry 6:
# CaAc8Tb2

A relaxed CaAc8Tb2 crystal (PBE, Alexandria).

Cell and atoms, written as CIF:
```
data_CaAc8Tb2
_chemical_formula_sum 'Ca2 Ac16 Tb4'
_cell_length_a 20.8476
_cell_length_b 7.6540
_cell_length_c 6.1954
_cell_angle_alpha 90.00
_cell_angle_beta 92.14
_cell_angle_gamma 90.00
_space_group_name_H-M_alt 'C 1 2/m 1'
_space_group_IT_number 12
_space_group_name_Hall '-C 2y'
loop_
_atom_site_label
_atom_site_type_symbol
_atom_site_fract_x
_atom_site_fract_y
_atom_site_fract_z
_atom_site_occupancy
Ca1 Ca 0.0000 0.0000 0.0000 1
Ac1 Ac 0.0490 0.5000 0.2413 1
Ac2 Ac 0.1359 0.2648 0.7360 1
Ac3 Ac 0.1908 0.0000 0.2397 1
Tb1 Tb 0.2149 0.5000 0.2482 1
```

Values from the calculation:
Spin magnetization (μB per cell): 0.000
DFT formation energy (eV/atom): 0.139
VASP energy (eV/atom): -3.872

=====

Entry 7:
# Ca2AcTb

A relaxed Ca2AcTb crystal (PBE, Alexandria).

Cell and atoms, written as CIF:
```
data_Ca2AcTb
_chemical_formula_sum 'Ca8 Ac4 Tb4'
_cell_length_a 8.5682
_cell_length_b 8.5682
_cell_length_c 8.5682
_cell_angle_alpha 90.00
_cell_angle_beta 90.00
_cell_angle_gamma 90.00
_space_group_name_H-M_alt 'F m -3 m'
_space_group_IT_number 225
_space_group_name_Hall '-F 4 2 3'
loop_
_atom_site_label
_atom_site_type_symbol
_atom_site_fract_x
_atom_site_fract_y
_atom_site_fract_z
_atom_site_occupancy
Ca1 Ca 0.2500 0.2500 0.2500 1
Ac1 Ac 0.0000 0.0000 0.0000 1
Tb1 Tb 0.0000 0.0000 0.5000 1
```

Values from the calculation:
Spin magnetization (μB per cell): 0.000
DFT formation energy (eV/atom): 0.124
VASP energy (eV/atom): -3.061
Energy above the lowest structure with this stoichiometry (eV/atom): 0.078

=====

Entry 8:
# Ca4Ac15Tb

A relaxed Ca4Ac15Tb crystal (PBE, Alexandria).

Cell and atoms, written as CIF:
```
data_Ca4Ac15Tb
_chemical_formula_sum 'Ca4 Ac15 Tb1'
_cell_length_a 5.5697
_cell_length_b 5.5697
_cell_length_c 28.0064
_cell_angle_alpha 90.00
_cell_angle_beta 90.00
_cell_angle_gamma 90.00
_space_group_name_H-M_alt 'P 4/m m m'
_space_group_IT_number 123
_space_group_name_Hall '-P 4 2'
loop_
_atom_site_label
_atom_site_type_symbol
_atom_site_fract_x
_atom_site_fract_y
_atom_site_fract_z
_atom_site_occupancy
Ca1 Ca 0.0000 0.0000 0.1007 1
Ca2 Ca 0.0000 0.0000 0.3019 1
Ac1 Ac 0.0000 0.5000 0.0000 1
Ac2 Ac 0.0000 0.5000 0.2014 1
Ac3 Ac 0.0000 0.5000 0.4036 1
Ac4 Ac 0.5000 0.5000 0.1007 1
Ac5 Ac 0.5000 0.5000 0.3019 1
Ac6 Ac 0.5000 0.5000 0.5000 1
Tb1 Tb 0.0000 0.0000 0.5000 1
```

Values from the calculation:
Spin magnetization (μB per cell): 0.000
DFT formation energy (eV/atom): 0.024
VASP energy (eV/atom): -3.689

=====

Entry 9:
# Ca2AcTb

A relaxed Ca2AcTb crystal (PBE, Alexandria).

Cell and atoms, written as CIF:
```
data_Ca2AcTb
_chemical_formula_sum 'Ca2 Ac1 Tb1'
_cell_length_a 3.8655
_cell_length_b 3.8655
_cell_length_c 10.7056
_cell_angle_alpha 90.00
_cell_angle_beta 90.00
_cell_angle_gamma 90.00
_space_group_name_H-M_alt 'P 4 m m'
_space_group_IT_number 99
_space_group_name_Hall 'P 4 -2'
loop_
_atom_site_label
_atom_site_type_symbol
_atom_site_fract_x
_atom_site_fract_y
_atom_site_fract_z
_atom_site_occupancy
Ca1 Ca 0.0000 0.0000 0.0000 1
Ca2 Ca 0.5000 0.5000 0.2627 1
Ac1 Ac 0.5000 0.5000 0.7297 1
Tb1 Tb 0.0000 0.0000 0.5016 1
```

Values from the calculation:
Spin magnetization (μB per cell): 0.000
DFT formation energy (eV/atom): 0.046
VASP energy (eV/atom): -3.139
Energy above the lowest structure with this stoichiometry (eV/atom): 0.000

=====

Entry 10:
# CaAc12Tb3

A relaxed CaAc12Tb3 crystal (PBE, Alexandria).

Cell and atoms, written as CIF:
```
data_CaAc12Tb3
_chemical_formula_sum 'Ca1 Ac12 Tb3'
_cell_length_a 5.5216
_cell_length_b 5.5216
_cell_length_c 22.0749
_cell_angle_alpha 90.00
_cell_angle_beta 90.00
_cell_angle_gamma 90.00
_space_group_name_H-M_alt 'P 4/m m m'
_space_group_IT_number 123
_space_group_name_Hall '-P 4 2'
loop_
_atom_site_label
_atom_site_type_symbol
_atom_site_fract_x
_atom_site_fract_y
_atom_site_fract_z
_atom_site_occupancy
Ca1 Ca 0.0000 0.0000 0.0000 1
Ac1 Ac 0.0000 0.5000 0.1292 1
Ac2 Ac 0.0000 0.5000 0.3759 1
Ac3 Ac 0.5000 0.5000 0.0000 1
Ac4 Ac 0.5000 0.5000 0.2519 1
Ac5 Ac 0.5000 0.5000 0.5000 1
Tb1 Tb 0.0000 0.0000 0.2512 1
Tb2 Tb 0.0000 0.0000 0.5000 1
```

Values from the calculation:
Spin magnetization (μB per cell): 0.000
DFT formation energy (eV/atom): 0.031
VASP energy (eV/atom): -4.044